<a>
Here is an optimized crystal structure of KAgW2 from the Alexandria database. Energies are from PBE-GGA.

Calculated values
crystal system = orthorhombic

a b c (Å): 6.1814 6.1814 6.1814
angles (deg): 151.47 124.27 63.79
Last column: nearest neighbours and their distance in Å.
Fractional coordinates of all 4 atoms:
K (0.0000, 0.0000, 0.0000)  2 K 3.05, 4 W 3.28, 2 Ag 3.37
Ag (0.7140, 0.2140, 0.5000)  2 W 2.96, 2 Ag 3.05
W (0.2958, 0.7958, 0.5000)  2 W 2.39
W (0.4719, 0.4719, 0.0000)  2 W 2.39



<b>
Here is an optimized crystal structure of KAgW2 from the Alexandria database. Energies are from PBE-GGA.

Calculated values
crystal system = tetragonal

a b c (Å): 6.1565 6.1565 6.1565
angles (deg): 143.62 143.62 52.39
Last column: nearest neighbours and their distance in Å.
Fractional coordinates of all 4 atoms:
K (0.0000, 0.0000, 0.0000)  4 Ag 2.72
Ag (0.5000, 0.5000, 0.0000)  4 K 2.72
W (0.2500, 0.7500, 0.5000)  4 W 2.72
W (0.7500, 0.2500, 0.5000)  4 W 2.72



Verdict on stability: <a> comes out on top.



<a>
Here is an optimized crystal structure of KAgW2 from the Alexandria database. Energies are from PBE-GGA.

Calculated values
crystal system = tetragonal

a b c (Å): 2.7361 2.7361 10.5799
angles (deg): 90.00 90.00 90.00
Last column: nearest neighbours and their distance in Å.
Fractional coordinates of all 4 atoms:
K (0.0000, 0.0000, 0.0000)  4 K 2.74
Ag (0.5000, 0.5000, 0.7205)  4 Ag 2.74, 4 W 2.96
W (0.0000, 0.0000, 0.5086)  8 W 2.74-2.97, 4 Ag 2.96
W (0.5000, 0.5000, 0.2962)  8 W 2.74-2.97



<b>
Here is an optimized crystal structure of KAgW2 from the Alexandria database. Energies are from PBE-GGA.

Calculated values
crystal system = monoclinic

a b c (Å): 2.8385 3.2962 9.4989
angles (deg): 90.00 95.75 90.00
Last column: nearest neighbours and their distance in Å.
Fractional coordinates of all 4 atoms:
K (0.0000, 0.0000, 0.0000)  2 K 2.84
Ag (0.4058, 0.5000, 0.7078)  2 Ag 2.84, 4 W 2.94-2.98
W (0.4446, 0.5000, 0.3224)  2 W 2.49
W (0.8196, 0.0000, 0.4956)  2 W 2.49



Verdict on stability: <b> comes out on top.



<a>
Here is an optimized crystal structure of KYAg3 from the Alexandria database. Energies are from PBE-GGA.

Calculated values
crystal system = cubic

a b c (Å): 5.6811 5.6811 5.6811
angles (deg): 90.00 90.00 90.00
Last column: nearest neighbours and their distance in Å.
Fractional coordinates of all 5 atoms:
K (0.0000, 0.0000, 0.0000)  12 Ag 4.02
Y (0.5000, 0.5000, 0.5000)  6 Ag 2.84
Ag (0.0000, 0.5000, 0.5000)  2 Y 2.84
Ag (0.5000, 0.0000, 0.5000)  2 Y 2.84
Ag (0.5000, 0.5000, 0.0000)  2 Y 2.84



<b>
Here is an optimized crystal structure of KYAg3 from the Alexandria database. Energies are from PBE-GGA.

Calculated values
crystal system = cubic

a b c (Å): 5.3397 5.3397 5.3397
angles (deg): 90.00 90.00 90.00
Last column: nearest neighbours and their distance in Å.
Fractional coordinates of all 5 atoms:
K (0.0000, 0.0000, 0.0000)  6 Ag 2.67
Y (0.5000, 0.5000, 0.5000)  12 Ag 3.78
Ag (0.0000, 0.0000, 0.5000)  2 K 2.67
Ag (0.0000, 0.5000, 0.0000)  2 K 2.67
Ag (0.5000, 0.0000, 0.0000)  2 K 2.67



Verdict on stability: <a> comes out on top.



<a>
Here is an optimized crystal structure of KZn3Ag from the Alexandria database. Energies are from PBE-GGA.

Calculated values
crystal system = orthorhombic

a b c (Å): 7.1164 7.1164 7.1164
angles (deg): 134.25 121.89 76.93
Last column: nearest neighbours and their distance in Å.
Fractional coordinates of all 10 atoms:
K (0.2624, 0.0124, 0.2500)  4 Ag 3.26, 7 Zn 3.34-3.48, 2 K 3.47
K (0.7376, 0.9876, 0.7500)  4 Ag 3.26, 7 Zn 3.34-3.48, 2 K 3.47
Zn (0.1847, 0.0000, 0.6847)  5 Zn 2.55-2.77
Zn (0.1847, 0.5000, 0.1847)  5 Zn 2.55-2.77
Zn (0.4383, 0.6883, 0.7500)  4 Zn 2.67, 2 Ag 2.72
Zn (0.5617, 0.3117, 0.2500)  4 Zn 2.67, 2 Ag 2.72
Zn (0.8153, 0.0000, 0.3153)  5 Zn 2.55-2.77
Zn (0.8153, 0.5000, 0.8153)  5 Zn 2.55-2.77
Ag (0.0000, 0.5000, 0.5000)  2 Zn 2.72
Ag (0.5000, 0.5000, 0.0000)  2 Zn 2.72



<b>
Here is an optimized crystal structure of KZn3Ag from the Alexandria database. Energies are from PBE-GGA.

Calculated values
crystal system = cubic

a b c (Å): 5.0736 5.0736 5.0736
angles (deg): 90.00 90.00 90.00
Last column: nearest neighbours and their distance in Å.
Fractional coordinates of all 5 atoms:
K (0.0000, 0.0000, 0.0000)  12 Zn 3.59
Zn (0.0000, 0.5000, 0.5000)  2 Ag 2.54
Zn (0.5000, 0.0000, 0.5000)  2 Ag 2.54
Zn (0.5000, 0.5000, 0.0000)  2 Ag 2.54
Ag (0.5000, 0.5000, 0.5000)  6 Zn 2.54



<c>
Here is an optimized crystal structure of KZn3Ag from the Alexandria database. Energies are from PBE-GGA.

Calculated values
crystal system = cubic

a b c (Å): 6.2016 6.2016 6.2016
angles (deg): 90.00 90.00 90.00
Last column: nearest neighbours and their distance in Å.
Fractional coordinates of all 5 atoms:
K (0.0000, 0.0000, 0.0000)  6 Zn 3.10
Zn (0.0000, 0.0000, 0.5000)  2 K 3.10
Zn (0.0000, 0.5000, 0.0000)  2 K 3.10
Zn (0.5000, 0.0000, 0.0000)  2 K 3.10
Ag (0.5000, 0.5000, 0.5000)  12 Zn 4.39



Verdict on stability: <a> comes out on top.



<a>
Here is an optimized crystal structure of KZn2Ag2 from the Alexandria database. Energies are from PBE-GGA.

Calculated values
crystal system = trigonal

a b c (Å): 4.4144 4.4144 8.1016
angles (deg): 90.00 90.00 120.00
Last column: nearest neighbours and their distance in Å.
Fractional coordinates of all 5 atoms:
K (0.0000, 0.0000, 0.0000)  6 Ag 3.53, 6 Zn 3.91
Zn (0.3333, 0.6667, 0.3659)  4 Ag 2.60-2.70
Zn (0.6667, 0.3333, 0.6341)  4 Ag 2.60-2.70
Ag (0.3333, 0.6667, 0.6993)  4 Zn 2.60-2.70
Ag (0.6667, 0.3333, 0.3007)  4 Zn 2.60-2.70



<b>
Here is an optimized crystal structure of KZn2Ag2 from the Alexandria database. Energies are from PBE-GGA.

Calculated values
crystal system = tetragonal

a b c (Å): 6.2693 6.2693 6.2693
angles (deg): 135.56 135.56 64.66
Last column: nearest neighbours and their distance in Å.
Fractional coordinates of all 5 atoms:
K (0.0000, 0.0000, 0.0000)  8 Zn 3.55, 10 Ag 3.64-3.89
Zn (0.2500, 0.7500, 0.5000)  4 Ag 2.68
Zn (0.7500, 0.2500, 0.5000)  4 Ag 2.68
Ag (0.3671, 0.3671, 0.0000)  4 Zn 2.68, 1 Ag 2.82
Ag (0.6329, 0.6329, 0.0000)  4 Zn 2.68, 1 Ag 2.82



<c>
Here is an optimized crystal structure of KZn2Ag2 from the Alexandria database. Energies are from PBE-GGA.

Calculated values
crystal system = tetragonal

a b c (Å): 8.3060 8.3060 2.9230
angles (deg): 90.00 90.00 90.00
Last column: nearest neighbours and their distance in Å.
Fractional coordinates of all 10 atoms:
K (0.0000, 0.0000, 0.0000)  2 K 2.92
K (0.5000, 0.5000, 0.0000)  2 K 2.92
Zn (0.1152, 0.3848, 0.0000)  3 Zn 2.71-2.92, 6 Ag 2.85-2.88
Zn (0.3848, 0.8848, 0.0000)  3 Zn 2.71-2.92, 6 Ag 2.85-2.88
Zn (0.6152, 0.1152, 0.0000)  3 Zn 2.71-2.92, 6 Ag 2.85-2.88
Zn (0.8848, 0.6152, 0.0000)  3 Zn 2.71-2.92, 6 Ag 2.85-2.88
Ag (0.1769, 0.6769, 0.5000)  6 Zn 2.85-2.88, 2 Ag 2.92
Ag (0.3231, 0.1769, 0.5000)  6 Zn 2.85-2.88, 2 Ag 2.92
Ag (0.6769, 0.8231, 0.5000)  6 Zn 2.85-2.88, 2 Ag 2.92
Ag (0.8231, 0.3231, 0.5000)  6 Zn 2.85-2.88, 2 Ag 2.92



<d>
Here is an optimized crystal structure of KZn2Ag2 from the Alexandria database. Energies are from PBE-GGA.

Calculated values
crystal system = tetragonal

a b c (Å): 6.1570 6.1570 6.1570
angles (deg): 134.74 134.74 65.93
Last column: nearest neighbours and their distance in Å.
Fractional coordinates of all 5 atoms:
K (0.0000, 0.0000, 0.0000)  8 Ag 3.50, 10 Zn 3.60-3.86
Zn (0.3734, 0.3734, 0.0000)  1 Zn 2.61, 4 Ag 2.69
Zn (0.6266, 0.6266, 0.0000)  1 Zn 2.61, 4 Ag 2.69
Ag (0.2500, 0.7500, 0.5000)  4 Zn 2.69
Ag (0.7500, 0.2500, 0.5000)  4 Zn 2.69



Verdict on stability: <c> comes out on top.